# Ba2TlNiO4 | Alexandria via LeMat-Bulk | GGA+U | optimized geometry
data_Ba2TlNiO4
_chemical_formula_sum 'Ba8 Tl4 Ni4 O16'
_cell_length_a 10.2433
_cell_length_b 9.5814
_cell_length_c 7.8707
_cell_angle_alpha 90.00
_cell_angle_beta 127.33
_cell_angle_gamma 90.00
_space_group_name_H-M_alt 'C 1 2/c 1'
_space_group_IT_number 15
loop_
_space_group_symop_operation_xyz
'x,y,z'
'-x,-y,-z'
'-x,y,-z+1/2'
'x,-y,z+1/2'
'x+1/2,y+1/2,z'
'-x+1/2,-y+1/2,-z'
'-x+1/2,y+1/2,-z+1/2'
'x+1/2,-y+1/2,z+1/2'
loop_
_atom_site_label
_atom_site_type_symbol
_atom_site_fract_x
_atom_site_fract_y
_atom_site_fract_z
Ba1 Ba 0.0000 0.0000 0.0000
Ba2 Ba 0.2500 0.2500 0.0000
Tl1 Tl 0.0000 0.5000 0.0000
Ni1 Ni 0.2500 0.2500 0.5000
O1 O 0.0556 0.2593 0.5735
O2 O 0.2299 0.0483 0.4523
# magnetic moment = 0.297 μB/atom
# E_tot = -4.99 eV/atom